Below is a relaxed Sc5Cd2Ag2 crystal, with properties calculated at the PBE-GGA level.

Unit cell a=6.9789 b=7.0072 c=9.0698 alpha=112.72 beta=90.00 gamma=90.00
With the nearest neighbours (Å) after each atom.
Sites, in units of the cell vectors:
Cd 0.0000 0.7736 0.5472  6 Sc 2.97-3.04
Sc 0.5000 0.5000 0.0000  4 Ag 2.72-2.73
Cd 0.5000 0.2736 0.5472  6 Sc 2.97-3.04
Sc 0.3226 0.6853 0.7366  3 Ag 2.87-3.14, 3 Cd 2.97-3.04
Cd 0.0000 0.2264 0.4528  6 Sc 2.97-3.04
Ag 0.6335 0.8663 0.0000  1 Ag 2.64, 4 Sc 2.72-2.87
Sc 0.0000 0.0000 0.0000  4 Ag 2.72-2.73
Sc 0.1774 0.4486 0.2634  3 Ag 2.87-3.14, 3 Cd 2.97-3.04
Cd 0.5000 0.7264 0.4528  6 Sc 2.97-3.04
Sc 0.1774 0.1853 0.7366  3 Ag 2.87-3.14, 3 Cd 2.97-3.04
Sc 0.3226 0.9486 0.2634  3 Ag 2.87-3.14, 3 Cd 2.97-3.04
Ag 0.1335 0.6337 0.0000  1 Ag 2.64, 4 Sc 2.72-2.87
Sc 0.6774 0.0514 0.7366  3 Ag 2.87-3.14, 3 Cd 2.97-3.04
Sc 0.8226 0.8147 0.2634  3 Ag 2.87-3.14, 3 Cd 2.97-3.04
Sc 0.6774 0.3147 0.2634  3 Ag 2.87-3.14, 3 Cd 2.97-3.04
Ag 0.8665 0.3663 0.0000  1 Ag 2.64, 4 Sc 2.72-2.87
Ag 0.3665 0.1337 0.0000  1 Ag 2.64, 4 Sc 2.72-2.87
Sc 0.8226 0.5514 0.7366  3 Ag 2.87-3.14, 3 Cd 2.97-3.04

Output
formation energy from the elements	-1.14	eV/f.u.

***

Below is a relaxed Sn2GeF crystal, with properties calculated at the PBE-GGA level.

Unit cell a=5.0186 b=5.0186 c=8.5280 alpha=72.89 beta=72.89 gamma=90.00
With the nearest neighbours (Å) after each atom.
Sites, in units of the cell vectors:
Sn 0.5586 0.1250 0.2500  2 F 2.49
F 0.5000 0.5000 0.0000  4 Sn 2.49
Sn 0.8750 0.8086 0.7500  2 F 2.49
Sn 0.1914 0.6250 0.2500  2 F 2.49
Sn 0.3750 0.4414 0.7500  2 F 2.49
Ge 0.0000 0.0000 0.0000  4 Sn 2.80
Ge 0.7500 0.2500 0.5000  4 Sn 2.80
F 0.2500 0.7500 0.5000  4 Sn 2.49

Output
excess energy over the best structure of this formula in the dataset	81	meV per atom

***

Below is a relaxed Na4Cd3Pb2 crystal, with properties calculated at the PBE-GGA level.

Unit cell a=3.5684 b=3.5684 c=24.1989 alpha=90.00 beta=90.00 gamma=120.00
With the nearest neighbours (Å) after each atom.
Sites, in units of the cell vectors:
Pb 0.6667 0.3333 0.0807  3 Cd 3.18, 1 Na 3.24
Na 0.6667 0.3333 0.4239  3 Cd 3.27, 6 Na 3.57
Cd 0.6667 0.3333 0.6593  6 Na 3.27, 6 Cd 3.57
Cd 0.0000 0.0000 0.9804  6 Pb 3.18
Cd 0.0000 0.0000 0.3189  6 Na 3.26-3.27, 6 Cd 3.57
Pb 0.6667 0.3333 0.8804  3 Cd 3.18, 3 Na 3.48
Na 0.0000 0.0000 0.5543  3 Cd 3.27, 6 Na 3.57
Na 0.0000 0.0000 0.7645  3 Cd 3.27, 3 Pb 3.48, 6 Na 3.57
Na 0.6667 0.3333 0.2148  1 Pb 3.24, 3 Cd 3.26, 6 Na 3.57

Output
formation energy from the elements	-0.08	eV/f.u.
excess energy over the best structure of this formula in the dataset	110	meV per atom

***

Below is a relaxed Tb5Ce2Er4 crystal, with properties calculated at the PBE-GGA level.

Unit cell a=3.4837 b=11.6204 c=8.6854 alpha=96.88 beta=89.95 gamma=81.46
With the nearest neighbours (Å) after each atom.
Sites, in units of the cell vectors:
Er 0.8674 0.2616 0.0551  6 Tb 3.35-3.57, 1 Ce 3.41, 4 Er 3.48-3.54
Tb 0.5000 0.0000 0.0000  6 Er 3.45-3.66, 6 Tb 3.48-3.52
Tb 0.7638 0.4726 0.8204  5 Er 3.35-3.64, 3 Ce 3.38-3.49, 4 Tb 3.48-3.56
Ce 0.1873 0.6264 0.5623  4 Tb 3.38-3.49, 3 Er 3.41-3.67, 4 Ce 3.45-3.48
Tb 0.0347 0.9250 0.6506  5 Tb 3.30-3.52, 1 Ce 3.42, 5 Er 3.53-3.65
Tb 0.9653 0.0750 0.3494  5 Tb 3.30-3.52, 1 Ce 3.42, 5 Er 3.53-3.65
Er 0.4002 0.1982 0.7005  4 Er 3.48-3.54, 7 Tb 3.57-3.66, 2 Ce 3.66-3.67
Ce 0.8127 0.3736 0.4377  4 Tb 3.38-3.49, 3 Er 3.41-3.67, 4 Ce 3.45-3.48
Tb 0.2362 0.5274 0.1796  5 Er 3.35-3.64, 3 Ce 3.38-3.49, 4 Tb 3.48-3.56
Er 0.5998 0.8018 0.2995  4 Er 3.48-3.54, 7 Tb 3.57-3.66, 2 Ce 3.66-3.67
Er 0.1326 0.7384 0.9449  6 Tb 3.35-3.57, 1 Ce 3.41, 4 Er 3.48-3.54

Output
formation energy from the elements	1.18	eV/f.u.

***

Below is a relaxed POs2Pt crystal, with properties calculated at the PBE-GGA level.

Unit cell a=8.4219 b=8.4219 c=8.4219 alpha=19.20 beta=19.20 gamma=19.20
With the nearest neighbours (Å) after each atom.
Sites, in units of the cell vectors:
P 0.5000 0.5000 0.5000  6 Os 2.41
Os 0.7614 0.7614 0.7614  3 P 2.41
Os 0.2386 0.2386 0.2386  3 P 2.41
Pt 0.0000 0.0000 0.0000  6 Pt 2.81, 6 Os 2.85

Output
formation energy from the elements	0.33	eV/f.u.

***

Below is a relaxed CaMgHg crystal, with properties calculated at the PBE-GGA level.

Unit cell a=3.7336 b=3.7336 c=7.1666 alpha=90.00 beta=90.00 gamma=120.00
With the nearest neighbours (Å) after each atom.
Sites, in units of the cell vectors:
Ca 0.0000 0.0000 0.0199  3 Hg 3.19, 3 Mg 3.51
Hg 0.3333 0.6667 0.3475  3 Mg 2.97, 3 Ca 3.19
Mg 0.6667 0.3333 0.6325  3 Hg 2.97

Output
formation energy from the elements	-0.52	eV/f.u.

***

Below is a relaxed LiNi2Rh crystal, with properties calculated at the PBE-GGA level.

Unit cell a=2.6138 b=2.6138 c=8.6160 alpha=81.25 beta=81.25 gamma=59.97
With the nearest neighbours (Å) after each atom.
Sites, in units of the cell vectors:
Ni 0.2498 0.2498 0.2506  3 Rh 2.60, 3 Li 2.60, 6 Ni 2.61
Rh 0.5001 0.5001 0.4997  6 Ni 2.60, 6 Rh 2.61
Li 0.6666 0.6666 0.0003  6 Ni 2.60-2.61, 6 Li 2.61
Ni 0.0835 0.0835 0.7493  3 Rh 2.60, 3 Li 2.61, 6 Ni 2.61

Output
formation energy from the elements	0.25	eV/f.u.

***

Below is a relaxed La2HgN crystal, with properties calculated at the PBE-GGA level.

Unit cell a=3.7361 b=3.7361 c=8.5628 alpha=77.40 beta=77.40 gamma=60.00
With the nearest neighbours (Å) after each atom.
Sites, in units of the cell vectors:
Hg 0.5000 0.5000 0.5000  6 La 3.48, 6 Hg 3.74
N 0.0000 0.0000 0.0000  6 La 2.58
La 0.2763 0.2763 0.1711  3 N 2.58
La 0.7237 0.7237 0.8289  3 N 2.58

Output
excess energy over the best structure of this formula in the dataset	27	meV per atom

***

| no. | size of the total moment (μB/cell) | electronic total energy (eV/atom) |
| --- | --- | --- |
| 1 | 0.00 | -4.481 |
| 2 | 0.00 | -4.118 |
| 3 | 0.00 | -1.724 |
| 4 | 1.67 | -4.736 |
| 5 | 0.00 | -8.394 |
| 6 | 0.00 | -1.472 |
| 7 | 1.62 | -5.143 |
| 8 | 0.01 | -5.451 |